## CdNi3N (GGA-PBE)

Data for crystalline CdNi3N at its relaxed geometry.

Properties
M_tot in μB per formula unit: 0.0
Calculated volume in Å³/atom: 13.0
SG: Fd-3m
Formation energy without anion corrections in kcal/mol of atoms: -0.337
Polymorph energy (0 for the lowest one) in kcal/mol of atoms: 1.15

Lattice parameters (Å, degrees): 7.1695 7.1695 7.1695 60.00 60.00 60.00
Positions (direct):
Ni  0.4321  0.4321  0.0679
Ni  0.0679  0.0679  0.4321
Ni  0.8179  0.1821  0.1821
Ni  0.0679  0.4321  0.0679
N  0.1250  0.1250  0.1250
Ni  0.4321  0.0679  0.4321
Ni  0.8179  0.8179  0.1821
Ni  0.8179  0.1821  0.8179
Cd  0.6250  0.1250  0.6250
Cd  0.6250  0.6250  0.1250
Cd  0.1250  0.6250  0.6250
Cd  0.6250  0.6250  0.6250
Ni  0.1821  0.8179  0.8179
Ni  0.4321  0.0679  0.0679
N  0.6250  0.1250  0.1250
Ni  0.1821  0.8179  0.1821
N  0.1250  0.6250  0.1250
N  0.1250  0.1250  0.6250
Ni  0.0679  0.4321  0.4321
Ni  0.1821  0.1821  0.8179